Entry 1:
A plane-wave DFT calculation with PBE was carried out for an optimized crystal structure of Ba2Zr2Zn.

Output
* crystal system: tetragonal
* ΔE to the lowest computed polymorph: 279.2 meV per atom

a = 4.478 Å, b = 4.478 Å, c = 8.868 Å
α = 75.37°, β = 75.37°, γ = 90.00°
Sites, in units of the cell vectors:
Zr: 0.428 0.428 0.145
Zr: 0.572 0.572 0.855
Zn: 0.000 0.000 0.000
Ba: 0.250 0.750 0.500
Ba: 0.750 0.250 0.500

---

Entry 2:
A plane-wave DFT calculation with PBE was carried out for an optimized crystal structure of BaZrZn.

Output
* crystal system: cubic
* ΔE to the lowest computed polymorph: 699.8 meV per atom

a = 5.174 Å, b = 5.174 Å, c = 5.174 Å
α = 60.00°, β = 60.00°, γ = 60.00°
Site moments in Bohr magnetons follow the coordinates.
Sites, in units of the cell vectors:
Zr: 0.000 0.000 0.000  0.96
Ba: 0.500 0.500 0.500  0.14
Zn: 0.750 0.750 0.750  0.03

---

Entry 3:
A plane-wave DFT calculation with PBE was carried out for an optimized crystal structure of BaZrZn2.

Output
* crystal system: orthorhombic
* ΔE to the lowest computed polymorph: 0.0 meV per atom

a = 3.577 Å, b = 3.559 Å, c = 8.523 Å
α = 65.35°, β = 90.00°, γ = 90.00°
Sites, in units of the cell vectors:
Zr: 0.500 0.250 0.250
Zn: 0.000 0.567 0.434
Zn: 0.000 0.933 0.066
Ba: 0.500 0.750 0.750

---

Entry 4:
A plane-wave DFT calculation with PBE was carried out for an optimized crystal structure of BaZr3Zn.

Output
* crystal system: cubic
* ΔE to the lowest computed polymorph: 1172.3 meV per atom

a = 5.281 Å, b = 5.281 Å, c = 5.281 Å
α = 90.00°, β = 90.00°, γ = 90.00°
Site moments in Bohr magnetons follow the coordinates.
Sites, in units of the cell vectors:
Zr: 0.000 0.000 0.500  0.18
Zr: 0.000 0.500 0.000  0.30
Zr: 0.500 0.000 0.000  0.37
Ba: 0.000 0.000 0.000  0.05
Zn: 0.500 0.500 0.500  -0.01

---

Entry 5:
A plane-wave DFT calculation with PBE was carried out for an optimized crystal structure of BaZr2Zn.

Output
* crystal system: monoclinic
* E: -4.6905 eV/atom

a = 5.221 Å, b = 3.348 Å, c = 6.172 Å
α = 79.78°, β = 90.00°, γ = 90.00°
Sites, in units of the cell vectors:
Zr: 0.000 0.581 0.548
Zr: 0.000 0.919 0.952
Ba: 0.500 0.250 0.250
Zn: 0.500 0.750 0.750

---

Entry 6:
A plane-wave DFT calculation with PBE was carried out for an optimized crystal structure of BaZr2Zn.

Output
* crystal system: tetragonal
* E: -4.4586 eV/atom

a = 5.307 Å, b = 5.307 Å, c = 3.413 Å
α = 90.00°, β = 90.00°, γ = 90.00°
Sites, in units of the cell vectors:
Zr: 0.500 0.500 0.000
Zr: 0.000 0.000 0.000
Zn: 0.000 0.500 0.500
Ba: 0.500 0.000 0.500

---

What did we get for N(E_F)? Answer: 5.8; 4.9; 3.4; 8.1; 4.6; 4.9 states/eV per cell, in the order shown.
What did we get for mass density? Answer: 5.22; 4.99; 6.05; 5.37; 6.02; 6.65 Mg/m³, in the order shown.